This record from Alexandria via LeMat-Bulk describes a geometry-optimized LiCeGdCd structure. The functional is PBE.

Properties
N(E_F)   10.2 states/eV per cell
Spin magnetization   9.0 μB per cell
E_form   -0.022 eV per atom

abc: 5.3337 5.3337 5.3337
angles: 60.00 60.00 60.00
With the nearest neighbours (Å) after each atom.
Atoms (fractional coordinates):
Li1 0.0000 0.0000 0.0000  4 Gd 3.27, 4 Ce 3.27
Ce1 0.2500 0.2500 0.2500  4 Cd 3.27, 4 Li 3.27
Gd1 0.7500 0.7500 0.7500  4 Cd 3.27, 4 Li 3.27
Cd1 0.5000 0.5000 0.5000  4 Gd 3.27, 4 Ce 3.27

=====

This record from Alexandria via LeMat-Bulk describes a geometry-optimized CeGdMgCd structure. The functional is PBE.

Properties
N(E_F)   8.4 states/eV per cell
Spin magnetization   7.0 μB per cell
E_form   -0.108 eV per atom

abc: 5.4012 5.4012 5.4012
angles: 60.00 60.00 60.00
With the nearest neighbours (Å) after each atom.
Atoms (fractional coordinates):
Ce1 0.0000 0.0000 0.0000  4 Mg 3.31, 4 Cd 3.31
Gd1 0.5000 0.5000 0.5000  4 Mg 3.31, 4 Cd 3.31
Mg1 0.7500 0.7500 0.7500  4 Gd 3.31, 4 Ce 3.31
Cd1 0.2500 0.2500 0.2500  4 Gd 3.31, 4 Ce 3.31